Entry 1:
VASP calculation (GGA-PBE) on a relaxed structure of LaAgCl6.

Geometry as CIF:
```
data_LaAgCl6
_cell_length_a 6.0159
_cell_length_b 6.7818
_cell_length_c 7.1523
_cell_angle_alpha 115.97
_cell_angle_beta 92.09
_cell_angle_gamma 106.71
_symmetry_space_group_name_H-M 'P -1'
_symmetry_Int_Tables_number 2
loop_
_symmetry_equiv_pos_as_xyz
'x,y,z'
'-x,-y,-z'
loop_
_atom_site_label
_atom_site_type_symbol
_atom_site_fract_x
_atom_site_fract_y
_atom_site_fract_z
La1 La 0.0000 0.0000 0.0000
Ag1 Ag 0.5000 0.0000 0.5000
Cl1 Cl 0.0542 0.4534 0.2275
Cl2 Cl 0.2841 0.2032 0.4137
Cl3 Cl 0.4243 0.1601 0.8517
```

Summary:
- Formation energy without anion corrections: -27.364 kcal/mol of atoms

=====

Entry 2:
VASP calculation (GGA-PBE) on a relaxed structure of BaLiEr.

Geometry as CIF:
```
data_BaLiEr
_cell_length_a 17.3931
_cell_length_b 3.8062
_cell_length_c 6.5680
_cell_angle_alpha 90.00
_cell_angle_beta 90.00
_cell_angle_gamma 90.00
_symmetry_space_group_name_H-M 'A m m 2'
_symmetry_Int_Tables_number 38
loop_
_symmetry_equiv_pos_as_xyz
'x,y,z'
'-x,-y,z'
'-x,y,z'
'x,-y,z'
'x,y+1/2,z+1/2'
'-x,-y+1/2,z+1/2'
'-x,y+1/2,z+1/2'
'x,-y+1/2,z+1/2'
loop_
_atom_site_label
_atom_site_type_symbol
_atom_site_fract_x
_atom_site_fract_y
_atom_site_fract_z
Ba1 Ba 0.1786 0.0000 0.0000
Li1 Li 0.0000 0.0000 0.3390
Li2 Li 0.5000 0.0000 0.9994
Er1 Er 0.3625 0.0000 0.3341
```

Summary:
- Formation energy from the elements: 0.29 eV per atom

=====

Entry 3:
VASP calculation (GGA-PBE) on a relaxed structure of LiAs2PbN.

Geometry as CIF:
```
data_LiAs2PbN
_cell_length_a 5.2701
_cell_length_b 5.2701
_cell_length_c 3.6137
_cell_angle_alpha 90.00
_cell_angle_beta 90.00
_cell_angle_gamma 90.00
_symmetry_space_group_name_H-M 'P 4/m m m'
_symmetry_Int_Tables_number 123
_symmetry_space_group_name_Hall '-P 4 2'
loop_
_atom_site_label
_atom_site_type_symbol
_atom_site_fract_x
_atom_site_fract_y
_atom_site_fract_z
Li1 Li 0.0000 0.0000 0.0000
As1 As 0.0000 0.5000 0.0000
Pb1 Pb 0.5000 0.5000 0.5000
N1 N 0.0000 0.0000 0.5000
```

Summary:
- Formation energy without anion corrections: 20.687 kcal/mol of atoms

=====

Entry 4:
VASP calculation (GGA-PBE) on a relaxed structure of CrPAu2.

Geometry as CIF:
```
data_CrPAu2
_cell_length_a 2.9656
_cell_length_b 3.3678
_cell_length_c 6.6005
_cell_angle_alpha 90.00
_cell_angle_beta 102.89
_cell_angle_gamma 90.00
_symmetry_space_group_name_H-M 'P 1 m 1'
_symmetry_Int_Tables_number 6
loop_
_symmetry_equiv_pos_as_xyz
'x,y,z'
'x,-y,z'
loop_
_atom_site_label
_atom_site_type_symbol
_atom_site_fract_x
_atom_site_fract_y
_atom_site_fract_z
Cr1 Cr 0.0000 0.0000 0.0000
P1 P 0.5563 0.5000 0.1137
Au1 Au 0.3518 0.5000 0.7042
Au2 Au 0.7078 0.0000 0.4159
```

Summary:
- Formation energy from the elements: 0.00 eV per atom

=====

Entry 5:
VASP calculation (GGA-PBE) on a relaxed structure of CsHfGa.

Geometry as CIF:
```
data_CsHfGa
_cell_length_a 4.2305
_cell_length_b 4.9756
_cell_length_c 13.0725
_cell_angle_alpha 94.31
_cell_angle_beta 90.98
_cell_angle_gamma 115.13
_symmetry_space_group_name_H-M 'P -1'
_symmetry_Int_Tables_number 2
loop_
_symmetry_equiv_pos_as_xyz
'x,y,z'
'-x,-y,-z'
loop_
_atom_site_label
_atom_site_type_symbol
_atom_site_fract_x
_atom_site_fract_y
_atom_site_fract_z
Cs1 Cs 0.1489 0.3297 0.1982
Hf1 Hf 0.1538 0.3045 0.5475
Ga1 Ga 0.4753 0.9422 0.5990
```

Summary:
- Formation energy from the elements: 0.15 eV per atom
- Energy relative to the lowest polymorph listed for this composition: 0.0000 eV/atom

=====

Entry 6:
VASP calculation (GGA-PBE) on a relaxed structure of PdAuI2.

Geometry as CIF:
```
data_PdAuI2
_cell_length_a 6.3784
_cell_length_b 6.3784
_cell_length_c 12.5819
_cell_angle_alpha 90.00
_cell_angle_beta 90.00
_cell_angle_gamma 90.00
_symmetry_space_group_name_H-M 'I -4 2 d'
_symmetry_Int_Tables_number 122
_symmetry_space_group_name_Hall 'I -4 2bw'
loop_
_atom_site_label
_atom_site_type_symbol
_atom_site_fract_x
_atom_site_fract_y
_atom_site_fract_z
Pd1 Pd 0.0000 0.0000 0.0000
Au1 Au 0.0000 0.0000 0.5000
I1 I 0.2351 0.2500 0.1250
```

Summary:
- Formation energy without anion corrections: 1.576 kcal/mol of atoms
- Energy relative to the lowest polymorph listed for this composition: 0.0000 eV/atom

=====

Entry 7:
VASP calculation (GGA-PBE) on a relaxed structure of Pm2TmSc.

Geometry as CIF:
```
data_Pm2TmSc
_cell_length_a 3.5362
_cell_length_b 3.5362
_cell_length_c 34.0134
_cell_angle_alpha 90.00
_cell_angle_beta 90.00
_cell_angle_gamma 120.00
_symmetry_space_group_name_H-M 'R 3 m'
_symmetry_Int_Tables_number 160
_symmetry_space_group_name_Hall 'R 3 -2"'
loop_
_atom_site_label
_atom_site_type_symbol
_atom_site_fract_x
_atom_site_fract_y
_atom_site_fract_z
Pm1 Pm 0.0000 0.0000 0.0000
Pm2 Pm 0.0000 0.0000 0.1612
Tm1 Tm 0.0000 0.0000 0.5813
Sc1 Sc 0.0000 0.0000 0.4139
```

Summary:
- Formation energy from the elements: 0.05 eV per atom
- Energy relative to the lowest polymorph listed for this composition: 0.0130 eV/atom

=====

Entry 8:
VASP calculation (GGA-PBE) on a relaxed structure of PrNd3Dy6Ho2.

Geometry as CIF:
```
data_PrNd3Dy6Ho2
_cell_length_a 6.2197
_cell_length_b 10.7677
_cell_length_c 11.8634
_cell_angle_alpha 90.00
_cell_angle_beta 100.03
_cell_angle_gamma 90.00
_symmetry_space_group_name_H-M 'C 1 2/m 1'
_symmetry_Int_Tables_number 12
loop_
_symmetry_equiv_pos_as_xyz
'x,y,z'
'-x,-y,-z'
'-x,y,-z'
'x,-y,z'
'x+1/2,y+1/2,z'
'-x+1/2,-y+1/2,-z'
'-x+1/2,y+1/2,-z'
'x+1/2,-y+1/2,z'
loop_
_atom_site_label
_atom_site_type_symbol
_atom_site_fract_x
_atom_site_fract_y
_atom_site_fract_z
Pr1 Pr 0.0000 0.0000 0.0000
Nd1 Nd 0.0000 0.1668 0.5000
Nd2 Nd 0.0000 0.5000 0.5000
Dy1 Dy 0.2486 0.5000 0.2478
Dy2 Dy 0.2499 0.1671 0.2479
Ho1 Ho 0.0000 0.3332 0.0000
```

Summary:
- Formation energy from the elements: 0.02 eV per atom

=====

Entry 9:
VASP calculation (GGA-PBE) on a relaxed structure of VSe2Br.

Geometry as CIF:
```
data_VSe2Br
_cell_length_a 3.2895
_cell_length_b 3.3009
_cell_length_c 10.0348
_cell_angle_alpha 80.54
_cell_angle_beta 89.86
_cell_angle_gamma 60.13
_symmetry_space_group_name_H-M 'P -1'
_symmetry_Int_Tables_number 2
loop_
_symmetry_equiv_pos_as_xyz
'x,y,z'
'-x,-y,-z'
loop_
_atom_site_label
_atom_site_type_symbol
_atom_site_fract_x
_atom_site_fract_y
_atom_site_fract_z
V1 V 0.0000 0.0000 0.0000
Se1 Se 0.2808 0.4412 0.8375
Br1 Br 0.5000 0.0000 0.5000
```

Summary:
- Formation energy without anion corrections: -9.723 kcal/mol of atoms
- Energy relative to the lowest polymorph listed for this composition: 0.0000 eV/atom

=====

Entry 10:
VASP calculation (GGA-PBE) on a relaxed structure of HfBe2F8.

Geometry as CIF:
```
data_HfBe2F8
_cell_length_a 9.8171
_cell_length_b 5.5869
_cell_length_c 5.0186
_cell_angle_alpha 90.00
_cell_angle_beta 101.14
_cell_angle_gamma 90.00
_symmetry_space_group_name_H-M 'C 1 2/m 1'
_symmetry_Int_Tables_number 12
loop_
_symmetry_equiv_pos_as_xyz
'x,y,z'
'-x,-y,-z'
'-x,y,-z'
'x,-y,z'
'x+1/2,y+1/2,z'
'-x+1/2,-y+1/2,-z'
'-x+1/2,y+1/2,-z'
'x+1/2,-y+1/2,z'
loop_
_atom_site_label
_atom_site_type_symbol
_atom_site_fract_x
_atom_site_fract_y
_atom_site_fract_z
Hf1 Hf 0.0000 0.0000 0.0000
Be1 Be 0.2035 0.0000 0.6704
F1 F 0.1196 0.2100 0.8044
F2 F 0.1416 0.0000 0.3496
F3 F 0.1462 0.5000 0.2612
```

Summary:
- Formation energy without anion corrections: -76.322 kcal/mol of atoms

=====

Entry 11:
VASP calculation (GGA-PBE) on a relaxed structure of Pm4PtRh.

Geometry as CIF:
```
data_Pm4PtRh
_cell_length_a 4.7779
_cell_length_b 5.2402
_cell_length_c 6.9709
_cell_angle_alpha 84.85
_cell_angle_beta 88.82
_cell_angle_gamma 89.85
_symmetry_space_group_name_H-M 'P 1'
_symmetry_Int_Tables_number 1
loop_
_symmetry_equiv_pos_as_xyz
'x,y,z'
loop_
_atom_site_label
_atom_site_type_symbol
_atom_site_fract_x
_atom_site_fract_y
_atom_site_fract_z
Pm1 Pm 0.0000 0.0000 0.0000
Pm2 Pm 0.0197 0.0905 0.4954
Pm3 Pm 0.4992 0.5009 0.9988
Pm4 Pm 0.5205 0.5897 0.4941
Pt1 Pt 0.0098 0.5454 0.7468
Rh1 Rh 0.5098 0.0460 0.2473
```

Summary:
- Formation energy from the elements: -0.61 eV per atom

=====

Entry 12:
VASP calculation (GGA-PBE) on a relaxed structure of AgOsIO2.

Geometry as CIF:
```
data_AgOsIO2
_cell_length_a 3.8066
_cell_length_b 3.8066
_cell_length_c 8.6743
_cell_angle_alpha 90.00
_cell_angle_beta 90.00
_cell_angle_gamma 90.00
_symmetry_space_group_name_H-M 'P 4/m m m'
_symmetry_Int_Tables_number 123
_symmetry_space_group_name_Hall '-P 4 2'
loop_
_atom_site_label
_atom_site_type_symbol
_atom_site_fract_x
_atom_site_fract_y
_atom_site_fract_z
Ag1 Ag 0.0000 0.0000 0.0000
Os1 Os 0.5000 0.5000 0.5000
I1 I 0.5000 0.5000 0.0000
O1 O 0.0000 0.5000 0.5000
```

Summary:
- Formation energy without anion corrections: -7.489 kcal/mol of atoms
- Energy relative to the lowest polymorph listed for this composition: 0.0000 eV/atom

=====

Entry 13:
VASP calculation (GGA-PBE) on a relaxed structure of AcBAuO5.

Geometry as CIF:
```
data_AcBAuO5
_cell_length_a 7.1274
_cell_length_b 9.1399
_cell_length_c 6.8299
_cell_angle_alpha 90.00
_cell_angle_beta 97.41
_cell_angle_gamma 90.00
_symmetry_space_group_name_H-M 'C 1 2/c 1'
_symmetry_Int_Tables_number 15
loop_
_symmetry_equiv_pos_as_xyz
'x,y,z'
'-x,-y,-z'
'-x,y,-z+1/2'
'x,-y,z+1/2'
'x+1/2,y+1/2,z'
'-x+1/2,-y+1/2,-z'
'-x+1/2,y+1/2,-z+1/2'
'x+1/2,-y+1/2,z+1/2'
loop_
_atom_site_label
_atom_site_type_symbol
_atom_site_fract_x
_atom_site_fract_y
_atom_site_fract_z
Ac1 Ac 0.0000 0.1186 0.2500
B1 B 0.0000 0.2325 0.7500
Au1 Au 0.0000 0.5000 0.0000
O1 O 0.0000 0.3900 0.2500
O2 O 0.0893 0.1360 0.9053
O3 O 0.1366 0.3326 0.6590
```

Summary:
- Formation energy without anion corrections: -41.737 kcal/mol of atoms

=====

Entry 14:
VASP calculation (GGA-PBE) on a relaxed structure of NdPaAl2.

Geometry as CIF:
```
data_NdPaAl2
_cell_length_a 5.5721
_cell_length_b 5.5721
_cell_length_c 3.0896
_cell_angle_alpha 90.00
_cell_angle_beta 90.00
_cell_angle_gamma 90.00
_symmetry_space_group_name_H-M 'P 4/m m m'
_symmetry_Int_Tables_number 123
_symmetry_space_group_name_Hall '-P 4 2'
loop_
_atom_site_label
_atom_site_type_symbol
_atom_site_fract_x
_atom_site_fract_y
_atom_site_fract_z
Nd1 Nd 0.0000 0.0000 0.0000
Pa1 Pa 0.5000 0.5000 0.0000
Al1 Al 0.0000 0.5000 0.5000
```

Summary:
- Formation energy from the elements: -0.12 eV per atom
- Energy relative to the lowest polymorph listed for this composition: 0.0844 eV/atom

=====

Entry 15:
VASP calculation (GGA-PBE) on a relaxed structure of KTc2O4.

Geometry as CIF:
```
data_KTc2O4
_cell_length_a 8.0821
_cell_length_b 12.4179
_cell_length_c 7.7535
_cell_angle_alpha 90.00
_cell_angle_beta 90.00
_cell_angle_gamma 90.00
_symmetry_space_group_name_H-M 'F d d 2'
_symmetry_Int_Tables_number 43
_symmetry_space_group_name_Hall 'F 2 -2d'
loop_
_atom_site_label
_atom_site_type_symbol
_atom_site_fract_x
_atom_site_fract_y
_atom_site_fract_z
K1 K 0.0000 0.0000 0.0000
Tc1 Tc 0.0775 0.4132 0.9311
O1 O 0.0528 0.4002 0.1775
O2 O 0.0707 0.3152 0.7196
```

Summary:
- Formation energy without anion corrections: -27.499 kcal/mol of atoms

=====

Entry 16:
VASP calculation (GGA-PBE) on a relaxed structure of Pr4TlTe2Se.

Geometry as CIF:
```
data_Pr4TlTe2Se
_cell_length_a 7.7425
_cell_length_b 4.4560
_cell_length_c 7.8205
_cell_angle_alpha 90.00
_cell_angle_beta 109.08
_cell_angle_gamma 90.00
_symmetry_space_group_name_H-M 'P 1 2/m 1'
_symmetry_Int_Tables_number 10
loop_
_symmetry_equiv_pos_as_xyz
'x,y,z'
'-x,-y,-z'
'-x,y,-z'
'x,-y,z'
loop_
_atom_site_label
_atom_site_type_symbol
_atom_site_fract_x
_atom_site_fract_y
_atom_site_fract_z
Pr1 Pr 0.2401 0.0000 0.2327
Pr2 Pr 0.2483 0.5000 0.7584
Tl1 Tl 0.5000 0.0000 0.0000
Te1 Te 0.0000 0.0000 0.5000
Te2 Te 0.5000 0.5000 0.5000
Se1 Se 0.0000 0.5000 0.0000
```

Summary:
- Formation energy without anion corrections: -29.592 kcal/mol of atoms

=====

Entry 17:
VASP calculation (GGA-PBE) on a relaxed structure of MgSb2Te.

Geometry as CIF:
```
data_MgSb2Te
_cell_length_a 6.5568
_cell_length_b 10.1084
_cell_length_c 3.4288
_cell_angle_alpha 90.00
_cell_angle_beta 110.18
_cell_angle_gamma 90.00
_symmetry_space_group_name_H-M 'C 1 2/m 1'
_symmetry_Int_Tables_number 12
loop_
_symmetry_equiv_pos_as_xyz
'x,y,z'
'-x,-y,-z'
'-x,y,-z'
'x,-y,z'
'x+1/2,y+1/2,z'
'-x+1/2,-y+1/2,-z'
'-x+1/2,y+1/2,-z'
'x+1/2,-y+1/2,z'
loop_
_atom_site_label
_atom_site_type_symbol
_atom_site_fract_x
_atom_site_fract_y
_atom_site_fract_z
Mg1 Mg 0.0000 0.0000 0.0000
Sb1 Sb 0.2500 0.2500 0.5000
Te1 Te 0.0000 0.5000 0.0000
```

Summary:
- Formation energy without anion corrections: 1.435 kcal/mol of atoms
- Energy relative to the lowest polymorph listed for this composition: 0.3335 eV/atom

=====

Entry 18:
VASP calculation (GGA-PBE) on a relaxed structure of PuAgSN.

Geometry as CIF:
```
data_PuAgSN
_cell_length_a 3.8813
_cell_length_b 3.8813
_cell_length_c 32.2136
_cell_angle_alpha 90.00
_cell_angle_beta 90.00
_cell_angle_gamma 120.00
_symmetry_space_group_name_H-M 'R -3 m'
_symmetry_Int_Tables_number 166
_symmetry_space_group_name_Hall '-R 3 2"'
loop_
_atom_site_label
_atom_site_type_symbol
_atom_site_fract_x
_atom_site_fract_y
_atom_site_fract_z
Pu1 Pu 0.0000 0.0000 0.1238
Ag1 Ag 0.0000 0.0000 0.3051
S1 S 0.0000 0.0000 0.4005
N1 N 0.0000 0.0000 0.1921
```

Summary:
- Formation energy without anion corrections: -20.208 kcal/mol of atoms

=====

Entry 19:
VASP calculation (GGA-PBE) on a relaxed structure of Cr2RuW.

Geometry as CIF:
```
data_Cr2RuW
_cell_length_a 5.9919
_cell_length_b 5.9919
_cell_length_c 5.9919
_cell_angle_alpha 90.00
_cell_angle_beta 90.00
_cell_angle_gamma 90.00
_symmetry_space_group_name_H-M 'F m -3 m'
_symmetry_Int_Tables_number 225
_symmetry_space_group_name_Hall '-F 4 2 3'
loop_
_atom_site_label
_atom_site_type_symbol
_atom_site_fract_x
_atom_site_fract_y
_atom_site_fract_z
Cr1 Cr 0.2500 0.2500 0.2500
Ru1 Ru 0.0000 0.0000 0.0000
W1 W 0.0000 0.0000 0.5000
```

Summary:
- Formation energy from the elements: 0.18 eV per atom
- Energy relative to the lowest polymorph listed for this composition: 0.0892 eV/atom

=====

Entry 20:
VASP calculation (GGA-PBE) on a relaxed structure of Ho6Ni2Bi.

Geometry as CIF:
```
data_Ho6Ni2Bi
_cell_length_a 9.2561
_cell_length_b 9.8512
_cell_length_c 10.2004
_cell_angle_alpha 90.00
_cell_angle_beta 90.00
_cell_angle_gamma 90.00
_symmetry_space_group_name_H-M 'I m m m'
_symmetry_Int_Tables_number 71
_symmetry_space_group_name_Hall '-I 2 2'
loop_
_atom_site_label
_atom_site_type_symbol
_atom_site_fract_x
_atom_site_fract_y
_atom_site_fract_z
Ho1 Ho 0.0000 0.2104 0.2289
Ho2 Ho 0.1877 0.5000 0.1742
Ho3 Ho 0.2036 0.3190 0.5000
Ni1 Ni 0.0000 0.3543 0.0000
Ni2 Ni 0.0000 0.5000 0.3757
Bi1 Bi 0.0000 0.0000 0.0000
Bi2 Bi 0.0000 0.0000 0.5000
```

Summary:
- Formation energy from the elements: -0.39 eV per atom